Entry 1:
{
  "formula": "Cs2TiNbI6",
  "functional": "GGA-PBE",
  "state": "relaxed",
  "spacegroup": "Fm-3m",
  "crystal_system": "cubic",
  "final_energy_ev_per_cell": -36.5,
  "lattice": [[0.000, 5.873, 5.873], [5.873, 0.000, 5.873], [5.873, 5.873, 0.000]],
  "species": ["Cs", "Cs", "Ti", "Nb", "I", "I", "I", "I", "I", "I"],
  "frac_coords": [[0.250, 0.250, 0.250], [0.750, 0.750, 0.750], [0.000, 0.000, 0.000], [0.500, 0.500, 0.500], [0.250, 0.250, 0.750], [0.250, 0.750, 0.250], [0.250, 0.750, 0.750], [0.750, 0.250, 0.250], [0.750, 0.250, 0.750], [0.750, 0.750, 0.250]]
}

Entry 2:
{
  "formula": "Ca2ZnAu",
  "functional": "GGA-PBE",
  "state": "relaxed",
  "spacegroup": "R3m",
  "formation_energy_ev_per_atom": -0.36,
  "crystal_system": "trigonal",
  "lattice": [[2.110, 1.218, 7.511], [-2.110, 1.218, 7.511], [0.000, -2.437, 7.511]],
  "species": ["Ca", "Ca", "Zn", "Au"],
  "frac_coords": [[0.000, 0.000, 0.000], [0.180, 0.180, 0.180], [0.424, 0.424, 0.424], [0.589, 0.589, 0.589]]
}

Entry 3:
{
  "formula": "KMg2Al2",
  "functional": "GGA-PBE",
  "state": "relaxed",
  "spacegroup": "I4/mmm",
  "e_above_lowest_polymorph_mev_per_atom": 61,
  "formation_energy_ev_per_atom": 0.16,
  "crystal_system": "tetragonal",
  "lattice": [[-2.430, 2.430, 5.843], [2.430, -2.430, 5.843], [2.430, 2.430, -5.843]],
  "species": ["K", "Mg", "Mg", "Al", "Al"],
  "frac_coords": [[0.000, 0.000, 0.000], [0.250, 0.750, 0.500], [0.750, 0.250, 0.500], [0.388, 0.388, 0.000], [0.612, 0.612, 0.000]]
}

Entry 4:
{
  "formula": "Ca5PbSe6",
  "functional": "GGA-PBE",
  "state": "relaxed",
  "spacegroup": "C2/m",
  "crystal_system": "monoclinic",
  "final_energy_ev_per_cell": -55.9,
  "lattice": [[3.683, -6.382, 0.000], [3.683, 6.382, 0.000], [-2.458, 0.000, 6.939]],
  "species": ["Ca", "Ca", "Ca", "Ca", "Ca", "Pb", "Se", "Se", "Se", "Se", "Se", "Se"],
  "frac_coords": [[0.000, 0.000, 0.000], [0.167, 0.833, 0.500], [0.336, 0.664, 0.000], [0.664, 0.336, 0.000], [0.833, 0.167, 0.500], [0.500, 0.500, 0.500], [0.074, 0.415, 0.246], [0.244, 0.244, 0.754], [0.415, 0.074, 0.246], [0.585, 0.926, 0.754], [0.756, 0.756, 0.246], [0.926, 0.585, 0.754]]
}

Number 1: size of the total moment 5.00 Bohr magnetons per cell. Number 2: size of the total moment 0.00 Bohr magnetons per cell. Number 3: size of the total moment 0.00 Bohr magnetons per cell. Number 4: size of the total moment 0.00 Bohr magnetons per cell.